# CdReTe2

An optimized crystal structure of CdReTe2 (PBEsol, Alexandria).

The structure belongs to space group R-3m (No. 166, hexagonal axes); the cell edges are 3.0157, 3.0157 and 35.4406 Å and the angles 90.00°, 90.00° and 120.00°. The asymmetric unit holds Cd at (0.0000, 0.0000, 0.0000), Re at (0.0000, 0.0000, 0.5000) and Te at (0.0000, 0.0000, 0.4257).

The value obtained for the formation energy from raw total energies is 0.713 eV per atom. Its electronic total energy is -4.682 eV/atom.

# Cd2ReTe

An optimized crystal structure of Cd2ReTe (PBEsol, Alexandria).

The structure belongs to space group P4/mmm (No. 123); the cell edges are 4.027, 4.027 and 4.762 Å and the angles 90.00°, 90.00° and 90.00°. The asymmetric unit holds Cd at (0.000, 0.500, 0.000), Re at (0.000, 0.000, 0.500) and Te at (0.500, 0.500, 0.500).

The value obtained for the formation energy from raw total energies is 0.808 eV per atom. Its electronic total energy is -4.005 eV/atom.

# TiCd3Re

An optimized crystal structure of TiCd3Re (PBEsol, Alexandria).

The structure belongs to space group Pm-3m (No. 221); the cell edges are 5.069, 5.069 and 5.069 Å and the angles 90.00°, 90.00° and 90.00°. The asymmetric unit holds Ti at (0.000, 0.000, 0.000), Cd at (0.000, 0.500, 0.500) and Re at (0.500, 0.500, 0.500).

Its electronic total energy is -3.612 eV/atom. For the energy of formation from the pure elements, the calculation gives 1.437 eV per atom.

# TlCdRe2

An optimized crystal structure of TlCdRe2 (PBEsol, Alexandria).

The structure belongs to space group Fm-3m (No. 225); the cell edges are 6.469, 6.469 and 6.469 Å and the angles 90.00°, 90.00° and 90.00°. The asymmetric unit holds Tl at (0.000, 0.000, 0.000), Cd at (0.000, 0.000, 0.500) and Re at (0.250, 0.250, 0.250).

Its electronic total energy is -6.381 eV/atom. For the energy of formation from the pure elements, the calculation gives 1.242 eV per atom. The polymorph energy (0 for the lowest one) comes out at 27.1 kJ per mole of atoms.

# TlCdRe2

An optimized crystal structure of TlCdRe2 (PBEsol, Alexandria).

The structure belongs to space group Pmmm (No. 47); the cell edges are 2.933, 4.856 and 4.860 Å and the angles 90.00°, 90.00° and 90.00°. The asymmetric unit holds Tl at (0.000, 0.000, 0.000), Cd at (0.500, 0.500, 0.000), Re at (0.000, 0.500, 0.500) and Re at (0.500, 0.000, 0.500).

Its electronic total energy is -6.658 eV/atom. For the energy of formation from the pure elements, the calculation gives 0.965 eV per atom. The polymorph energy (0 for the lowest one) comes out at 0.4 kJ per mole of atoms.

# TlCdRe2

An optimized crystal structure of TlCdRe2 (PBEsol, Alexandria).

The structure belongs to space group Immm (No. 71); the cell edges are 2.950, 4.826 and 9.724 Å and the angles 90.00°, 90.00° and 90.00°. The asymmetric unit holds Tl at (0.000, 0.000, 0.000), Cd at (0.000, 0.000, 0.500) and Re at (0.000, 0.500, 0.251).

Its electronic total energy is -6.663 eV/atom. For the energy of formation from the pure elements, the calculation gives 0.960 eV per atom. The polymorph energy (0 for the lowest one) comes out at 0.0 kJ per mole of atoms.

# Cd3ReW

An optimized crystal structure of Cd3ReW (PBEsol, Alexandria).

The structure belongs to space group Pm-3m (No. 221); the cell edges are 5.063, 5.063 and 5.063 Å and the angles 90.00°, 90.00° and 90.00°. The asymmetric unit holds Cd at (0.000, 0.000, 0.500), Re at (0.000, 0.000, 0.000) and W at (0.500, 0.500, 0.500).

Its electronic total energy is -3.844 eV/atom. For the energy of formation from the pure elements, the calculation gives 2.303 eV per atom. The polymorph energy (0 for the lowest one) comes out at 0.0 kJ per mole of atoms.

# CdReW2

An optimized crystal structure of CdReW2 (PBEsol, Alexandria).

The structure belongs to space group Cmmm (No. 65); the cell edges are 3.128, 4.471 and 9.299 Å and the angles 90.00°, 90.00° and 90.00°. The asymmetric unit holds Cd at (0.000, 0.000, 0.000), Re at (0.000, 0.000, 0.500) and W at (0.000, 0.500, 0.267).

Its electronic total energy is -10.160 eV/atom. For the energy of formation from the pure elements, the calculation gives 0.376 eV per atom.

# CdReW2

An optimized crystal structure of CdReW2 (PBEsol, Alexandria).

The structure belongs to space group Cmmm (No. 65); the cell edges are 5.553, 8.352 and 2.746 Å and the angles 90.00°, 90.00° and 90.00°. The asymmetric unit holds Cd at (0.000, 0.000, 0.000), Re at (0.000, 0.500, 0.000) and W at (0.250, 0.250, 0.500).

Its electronic total energy is -9.988 eV/atom. For the energy of formation from the pure elements, the calculation gives 0.548 eV per atom.

# CdRe3W

An optimized crystal structure of CdRe3W (PBEsol, Alexandria).

The structure belongs to space group Pm-3m (No. 221); the cell edges are 4.626, 4.626 and 4.626 Å and the angles 90.00°, 90.00° and 90.00°. The asymmetric unit holds Cd at (0.000, 0.000, 0.000), Re at (0.000, 0.000, 0.500) and W at (0.500, 0.500, 0.500).

Its electronic total energy is -7.573 eV/atom. For the energy of formation from the pure elements, the calculation gives 3.427 eV per atom.

# YCdRe2

An optimized crystal structure of YCdRe2 (PBEsol, Alexandria).

The structure belongs to space group P2/m (No. 10); the cell edges are 2.853, 4.920 and 5.212 Å and the angles 90.00°, 95.02° and 90.00°. The asymmetric unit holds Y at (0.000, 0.000, 0.000), Cd at (0.500, 0.000, 0.500) and Re at (0.326, 0.500, 0.775).

Its electronic total energy is -8.149 eV/atom. For the energy of formation from the pure elements, the calculation gives 0.522 eV per atom.

# YCdRe2

An optimized crystal structure of YCdRe2 (PBEsol, Alexandria).

The structure belongs to space group P4/mmm (No. 123); the cell edges are 3.977, 3.977 and 4.516 Å and the angles 90.00°, 90.00° and 90.00°. The asymmetric unit holds Y at (0.000, 0.000, 0.000), Cd at (0.500, 0.500, 0.000) and Re at (0.000, 0.500, 0.500).

Its electronic total energy is -8.149 eV/atom. For the energy of formation from the pure elements, the calculation gives 0.522 eV per atom.

# Y2CdRe

An optimized crystal structure of Y2CdRe (PBEsol, Alexandria).

The structure belongs to space group P4mm (No. 99); the cell edges are 3.578, 3.578 and 7.354 Å and the angles 90.00°, 90.00° and 90.00°. The asymmetric unit holds Y at (0.000, 0.000, 0.000), Y at (0.500, 0.500, 0.378), Cd at (0.000, 0.000, 0.600) and Re at (0.500, 0.500, 0.770).

Its electronic total energy is -6.712 eV/atom. For the energy of formation from the pure elements, the calculation gives 0.332 eV per atom.

# YCdRe

An optimized crystal structure of YCdRe (PBEsol, Alexandria).

The structure belongs to space group F-43m (No. 216); the cell edges are 6.675, 6.675 and 6.675 Å and the angles 90.00°, 90.00° and 90.00°. The asymmetric unit holds Y at (0.000, 0.000, 0.000), Cd at (0.250, 0.250, 0.750) and Re at (0.250, 0.250, 0.250).

Its electronic total energy is -5.742 eV/atom. For the energy of formation from the pure elements, the calculation gives 1.375 eV per atom.

# Y2CdRe

An optimized crystal structure of Y2CdRe (PBEsol, Alexandria).

The structure belongs to space group P4/mmm (No. 123); the cell edges are 3.443, 3.443 and 7.566 Å and the angles 90.00°, 90.00° and 90.00°. The asymmetric unit holds Y at (0.000, 0.000, 0.216), Cd at (0.500, 0.500, 0.500) and Re at (0.500, 0.500, 0.000).

Its electronic total energy is -7.085 eV/atom. For the energy of formation from the pure elements, the calculation gives -0.041 eV per atom.

# Y2CdRe

An optimized crystal structure of Y2CdRe (PBEsol, Alexandria).

The structure belongs to space group R-3m (No. 166, hexagonal axes); the cell edges are 3.3907, 3.3907 and 28.0122 Å and the angles 90.00°, 90.00° and 120.00°. The asymmetric unit holds Y at (0.0000, 0.0000, 0.2396), Cd at (0.0000, 0.0000, 0.0000) and Re at (0.0000, 0.0000, 0.5000).

Its electronic total energy is -6.807 eV/atom. For the energy of formation from the pure elements, the calculation gives 0.237 eV per atom.

# YCdRe2

An optimized crystal structure of YCdRe2 (PBEsol, Alexandria).

The structure belongs to space group F-43m (No. 216); the cell edges are 6.575, 6.575 and 6.575 Å and the angles 90.00°, 90.00° and 90.00°. The asymmetric unit holds Y at (0.000, 0.000, 0.000), Cd at (0.250, 0.250, 0.250), Re at (0.000, 0.000, 0.500) and Re at (0.250, 0.250, 0.750).

Its electronic total energy is -8.247 eV/atom. For the energy of formation from the pure elements, the calculation gives 0.423 eV per atom.

# YCdRe2

An optimized crystal structure of YCdRe2 (PBEsol, Alexandria).

The structure belongs to space group I4/mmm (No. 139); the cell edges are 3.973, 3.973 and 9.181 Å and the angles 90.00°, 90.00° and 90.00°. The asymmetric unit holds Y at (0.000, 0.000, 0.000), Cd at (0.000, 0.000, 0.500) and Re at (0.000, 0.500, 0.250).

Its electronic total energy is -8.058 eV/atom. For the energy of formation from the pure elements, the calculation gives 0.613 eV per atom.

# ZnCd2Re

An optimized crystal structure of ZnCd2Re (PBEsol, Alexandria).

The structure belongs to space group I-4m2 (No. 119); the cell edges are 3.944, 3.944 and 8.571 Å and the angles 90.00°, 90.00° and 90.00°. The asymmetric unit holds Zn at (0.000, 0.000, 0.000), Cd at (0.000, 0.000, 0.500), Cd at (0.000, 0.500, 0.250) and Re at (0.000, 0.500, 0.750).

Its electronic total energy is -3.716 eV/atom. For the energy of formation from the pure elements, the calculation gives 0.611 eV per atom.

# ZnCd2Re

An optimized crystal structure of ZnCd2Re (PBEsol, Alexandria).

The structure belongs to space group R3m (No. 160, hexagonal axes); the cell edges are 2.8388, 2.8388 and 28.9326 Å and the angles 90.00°, 90.00° and 120.00°. The asymmetric unit holds Zn at (0.0000, 0.0000, 0.0000), Cd at (0.0000, 0.0000, 0.2495), Cd at (0.0000, 0.0000, 0.4895) and Re at (0.0000, 0.0000, 0.7390).

Its electronic total energy is -4.001 eV/atom. For the energy of formation from the pure elements, the calculation gives 0.326 eV per atom.